# PBE FeBiPCl2, optimized geometry
data_FeBiPCl2
_chemical_formula_sum 'Fe1 Bi1 P1 Cl2'
_symmetry_space_group_name_H-M 'P 4/m m m'
_symmetry_Int_Tables_number 123
_symmetry_space_group_name_Hall '-P 4 2'
_cell_length_a 5.291
_cell_length_b 5.291
_cell_length_c 5.531
_cell_angle_alpha 90.00
_cell_angle_beta 90.00
_cell_angle_gamma 90.00
loop_
_atom_site_label
_atom_site_type_symbol
_atom_site_fract_x
_atom_site_fract_y
_atom_site_fract_z
Fe1 Fe 0.000 0.000 0.000
Bi1 Bi 0.500 0.500 0.500
P1 P 0.500 0.500 0.000
Cl1 Cl 0.000 0.500 0.500
# Formation energy from raw total energies in eV per atom: 0.702
# Polymorph energy (0 for the lowest one) in kJ/mol of atoms: 61.4
# Spin magnetization in μB/f.u.: 3.9
# DOS(E_F) in states/eV/cell: 8.53
# Crystal system: tetragonal


# PBE In2SeBr2, optimized geometry
data_In2SeBr2
_chemical_formula_sum 'In4 Se2 Br4'
_symmetry_space_group_name_H-M 'P -1'
_symmetry_Int_Tables_number 2
_cell_length_a 4.172
_cell_length_b 8.005
_cell_length_c 11.169
_cell_angle_alpha 90.06
_cell_angle_beta 90.02
_cell_angle_gamma 105.09
loop_
_symmetry_equiv_pos_as_xyz
'x,y,z'
'-x,-y,-z'
loop_
_atom_site_label
_atom_site_type_symbol
_atom_site_fract_x
_atom_site_fract_y
_atom_site_fract_z
In1 In 0.040 0.077 0.250
In2 In 0.221 0.450 0.749
Se1 Se 0.442 0.880 0.249
Br1 Br 0.159 0.314 0.419
Br2 Br 0.159 0.316 0.082
# Formation energy from raw total energies in eV per atom: -0.622
# Spin magnetization in μB/f.u.: 0.0
# DOS(E_F) in states/eV/cell: 0.00
# Crystal system: triclinic


# PBE YCd2W, optimized geometry
data_YCd2W
_chemical_formula_sum 'Y2 Cd4 W2'
_symmetry_space_group_name_H-M 'I -4 m 2'
_symmetry_Int_Tables_number 119
_symmetry_space_group_name_Hall 'I -4 -2'
_cell_length_a 4.292
_cell_length_b 4.292
_cell_length_c 9.286
_cell_angle_alpha 90.00
_cell_angle_beta 90.00
_cell_angle_gamma 90.00
loop_
_atom_site_label
_atom_site_type_symbol
_atom_site_fract_x
_atom_site_fract_y
_atom_site_fract_z
Y1 Y 0.000 0.000 0.000
Cd1 Cd 0.000 0.000 0.500
Cd2 Cd 0.000 0.500 0.750
W1 W 0.000 0.500 0.250
# Energy relative to the elements in eV/atom: 0.48
# Polymorph energy (0 for the lowest one) in kJ/mol of atoms: 16.6
# Spin magnetization in μB/f.u.: 0.0
# DOS(E_F) in states/eV/cell: 6.99
# Crystal system: tetragonal


# PBE MgBiNF2, optimized geometry
data_MgBiNF2
_chemical_formula_sum 'Mg1 Bi1 N1 F2'
_symmetry_space_group_name_H-M 'P 4/m m m'
_symmetry_Int_Tables_number 123
_symmetry_space_group_name_Hall '-P 4 2'
_cell_length_a 4.517
_cell_length_b 4.517
_cell_length_c 4.641
_cell_angle_alpha 90.00
_cell_angle_beta 90.00
_cell_angle_gamma 90.00
loop_
_atom_site_label
_atom_site_type_symbol
_atom_site_fract_x
_atom_site_fract_y
_atom_site_fract_z
Mg1 Mg 0.000 0.000 0.000
Bi1 Bi 0.500 0.500 0.500
N1 N 0.500 0.500 0.000
F1 F 0.000 0.500 0.500
# Formation energy from raw total energies in eV per atom: -0.678
# Polymorph energy (0 for the lowest one) in kJ/mol of atoms: 74.8
# Spin magnetization in μB/f.u.: 0.0
# DOS(E_F) in states/eV/cell: 0.77
# Crystal system: tetragonal


# PBE La2InAgRu, optimized geometry
data_La2InAgRu
_chemical_formula_sum 'La2 In1 Ag1 Ru1'
_symmetry_space_group_name_H-M 'P 4/m m m'
_symmetry_Int_Tables_number 123
_symmetry_space_group_name_Hall '-P 4 2'
_cell_length_a 5.407
_cell_length_b 5.407
_cell_length_c 5.214
_cell_angle_alpha 90.00
_cell_angle_beta 90.00
_cell_angle_gamma 90.00
loop_
_atom_site_label
_atom_site_type_symbol
_atom_site_fract_x
_atom_site_fract_y
_atom_site_fract_z
La1 La 0.000 0.500 0.000
In1 In 0.000 0.000 0.500
Ag1 Ag 0.500 0.500 0.500
Ru1 Ru 0.000 0.000 0.000
# Energy relative to the elements in eV/atom: -0.24
# Polymorph energy (0 for the lowest one) in kJ/mol of atoms: 11.8
# Spin magnetization in μB/f.u.: 0.0
# DOS(E_F) in states/eV/cell: 3.80
# Crystal system: tetragonal


# PBE PIr2Se, optimized geometry
data_PIr2Se
_chemical_formula_sum 'P1 Ir2 Se1'
_symmetry_space_group_name_H-M 'P 4 m m'
_symmetry_Int_Tables_number 99
_cell_length_a 2.976
_cell_length_b 2.976
_cell_length_c 7.930
_cell_angle_alpha 90.00
_cell_angle_beta 90.00
_cell_angle_gamma 90.00
loop_
_symmetry_equiv_pos_as_xyz
'x,y,z'
'-y,x,z'
'-x,-y,z'
'y,-x,z'
'-x,y,z'
'y,x,z'
'x,-y,z'
'-y,-x,z'
loop_
_atom_site_label
_atom_site_type_symbol
_atom_site_fract_x
_atom_site_fract_y
_atom_site_fract_z
P1 P 0.000 0.000 0.000
Ir1 Ir 0.000 0.000 0.568
Ir2 Ir 0.500 0.500 0.847
Se1 Se 0.500 0.500 0.395
# Formation energy from raw total energies in eV per atom: 0.134
# Spin magnetization in μB/f.u.: 0.0
# DOS(E_F) in states/eV/cell: 2.57
# Crystal system: tetragonal